Entry w
First-principles (PBE-GGA) data for an optimized crystal structure of CsPbC, as listed in Alexandria via LeMat-Bulk.

abc: 7.230 4.897 13.292
angles: 90.00 112.53 90.00
Fractional positions:
Pb1 0.364 0.000 0.683
Pb2 0.636 0.000 0.317
Pb3 0.364 0.500 0.183
Pb4 0.636 0.500 0.817
Cs1 0.178 0.000 0.907
Cs2 0.822 0.000 0.093
Cs3 0.178 0.500 0.407
Cs4 0.822 0.500 0.593
C1 0.482 0.000 0.543
C2 0.518 0.000 0.457
C3 0.482 0.500 0.043
C4 0.518 0.500 0.957

Results
Symmetry = No. 12
Density of states at the Fermi level = 0.43 states/eV per cell


Entry x
First-principles (PBE-GGA) data for an optimized crystal structure of CsPbC, as listed in Alexandria via LeMat-Bulk.

abc: 9.324 5.331 9.213
angles: 90.00 90.02 90.00
Fractional positions:
Pb1 0.087 0.000 0.845
Pb2 0.087 0.500 0.345
Pb3 0.967 0.000 0.511
Pb4 0.967 0.500 0.011
Cs1 0.380 0.000 0.178
Cs2 0.380 0.500 0.678
Cs3 0.674 0.000 0.845
Cs4 0.674 0.500 0.345
C1 0.577 0.000 0.512
C2 0.577 0.500 0.012
C3 0.713 0.000 0.511
C4 0.713 0.500 0.011

Results
Symmetry = No. 8
Density of states at the Fermi level = 0.76 states/eV per cell


Going by the computed energies, the most stable comes first: entry w, entry x.


Entry w
First-principles (PBE-GGA) data for an optimized crystal structure of CsPbC, as listed in Alexandria via LeMat-Bulk.

abc: 6.962 4.230 7.393
angles: 90.00 99.89 90.00
Fractional positions:
Pb1 0.159 0.000 0.682
Pb2 0.841 0.000 0.318
Cs1 0.710 0.500 0.797
Cs2 0.290 0.500 0.203
C1 0.423 0.000 0.535
C2 0.577 0.000 0.465

Results
Symmetry = No. 10
Density of states at the Fermi level = 1.02 states/eV per cell


Entry x
First-principles (PBE-GGA) data for an optimized crystal structure of CsPbC, as listed in Alexandria via LeMat-Bulk.

abc: 4.995 6.973 7.756
angles: 109.55 96.17 110.29
Fractional positions:
Pb1 0.685 0.421 0.739
Pb2 0.347 0.747 0.785
Cs1 0.155 0.239 0.073
Cs2 0.878 0.912 0.435
C1 0.044 0.667 0.019
C2 0.286 0.808 0.142

Results
Symmetry = No. 1
Density of states at the Fermi level = 0.11 states/eV per cell


Going by the computed energies, the most stable comes first: entry w, entry x.


Entry w
First-principles (PBE-GGA) data for an optimized crystal structure of CsPb3C, as listed in Alexandria via LeMat-Bulk.

abc: 5.394 5.394 5.394
angles: 90.00 90.00 90.00
Fractional positions:
Pb1 0.000 0.500 0.000
Pb2 0.000 0.000 0.500
Pb3 0.500 0.000 0.000
Cs1 0.500 0.500 0.500
C1 0.000 0.000 0.000

Results
Symmetry = No. 221
Density of states at the Fermi level = 4.54 states/eV per cell


Entry x
First-principles (PBE-GGA) data for an optimized crystal structure of CsPb3C, as listed in Alexandria via LeMat-Bulk.

abc: 6.512 6.512 6.512
angles: 90.00 90.00 90.00
Fractional positions:
Pb1 0.000 0.500 0.000
Pb2 0.000 0.000 0.500
Pb3 0.500 0.000 0.000
Cs1 0.000 0.000 0.000
C1 0.500 0.500 0.500

Results
Symmetry = No. 221
Density of states at the Fermi level = 5.43 states/eV per cell


Going by the computed energies, the most stable comes first: entry w, entry x.


Entry w
First-principles (PBE-GGA) data for an optimized crystal structure of CsPd3C, as listed in Alexandria via LeMat-Bulk.

abc: 4.461 4.461 4.461
angles: 90.00 90.00 90.00
Fractional positions:
Cs1 0.500 0.500 0.500
C1 0.000 0.000 0.000
Pd1 0.000 0.500 0.000
Pd2 0.000 0.000 0.500
Pd3 0.500 0.000 0.000

Results
Symmetry = No. 221
Density of states at the Fermi level = 4.23 states/eV per cell


Entry x
First-principles (PBE-GGA) data for an optimized crystal structure of CsPd3C, as listed in Alexandria via LeMat-Bulk.

abc: 5.318 5.318 5.318
angles: 90.00 90.00 90.00
Fractional positions:
Cs1 0.000 0.000 0.000
C1 0.500 0.500 0.500
Pd1 0.000 0.500 0.000
Pd2 0.000 0.000 0.500
Pd3 0.500 0.000 0.000

Results
Symmetry = No. 221
Density of states at the Fermi level = 5.36 states/eV per cell


Going by the computed energies, the most stable comes first: entry w, entry x.


Entry w
First-principles (PBE-GGA) data for an optimized crystal structure of CsPt3C, as listed in Alexandria via LeMat-Bulk.

abc: 5.249 5.249 5.249
angles: 90.00 90.00 90.00
Fractional positions:
Cs1 0.000 0.000 0.000
C1 0.500 0.500 0.500
Pt1 0.000 0.500 0.000
Pt2 0.000 0.000 0.500
Pt3 0.500 0.000 0.000

Results
Symmetry = No. 221
Density of states at the Fermi level = 4.86 states/eV per cell


Entry x
First-principles (PBE-GGA) data for an optimized crystal structure of CsPt3C, as listed in Alexandria via LeMat-Bulk.

abc: 4.474 4.474 4.474
angles: 90.00 90.00 90.00
Fractional positions:
Cs1 0.500 0.500 0.500
C1 0.000 0.000 0.000
Pt1 0.000 0.500 0.000
Pt2 0.000 0.000 0.500
Pt3 0.500 0.000 0.000

Results
Symmetry = No. 221
Density of states at the Fermi level = 6.23 states/eV per cell


Going by the computed energies, the most stable comes first: entry x, entry w.


Entry w
First-principles (PBE-GGA) data for an optimized crystal structure of CsRb3C, as listed in Alexandria via LeMat-Bulk.

abc: 6.592 6.592 6.592
angles: 90.00 90.00 90.00
Fractional positions:
Cs1 0.500 0.500 0.500
C1 0.000 0.000 0.000
Rb1 0.000 0.500 0.000
Rb2 0.000 0.000 0.500
Rb3 0.500 0.000 0.000

Results
Symmetry = No. 221
Density of states at the Fermi level = 7.49 states/eV per cell


Entry x
First-principles (PBE-GGA) data for an optimized crystal structure of CsRb3C, as listed in Alexandria via LeMat-Bulk.

abc: 8.599 8.599 8.599
angles: 90.00 90.00 90.00
Fractional positions:
Cs1 0.000 0.000 0.000
Rb1 0.000 0.500 0.000
Rb2 0.000 0.000 0.500
Rb3 0.500 0.000 0.000
C1 0.500 0.500 0.500

Results
Symmetry = No. 221
Density of states at the Fermi level = 8.00 states/eV per cell


Going by the computed energies, the most stable comes first: entry w, entry x.


Entry w
First-principles (PBE-GGA) data for an optimized crystal structure of CsReC3, as listed in Alexandria via LeMat-Bulk.

abc: 4.255 4.255 4.255
angles: 90.00 90.00 90.00
Fractional positions:
Cs1 0.000 0.000 0.000
Re1 0.500 0.500 0.500
C1 0.000 0.500 0.000
C2 0.000 0.000 0.500
C3 0.500 0.000 0.000

Results
Symmetry = No. 221
Density of states at the Fermi level = 6.80 states/eV per cell


Entry x
First-principles (PBE-GGA) data for an optimized crystal structure of CsReC3, as listed in Alexandria via LeMat-Bulk.

abc: 4.222 4.222 4.222
angles: 90.00 90.00 90.00
Fractional positions:
Cs1 0.500 0.500 0.500
Re1 0.000 0.000 0.000
C1 0.000 0.500 0.000
C2 0.000 0.000 0.500
C3 0.500 0.000 0.000

Results
Symmetry = No. 221
Density of states at the Fermi level = 2.84 states/eV per cell


Going by the computed energies, the most stable comes first: entry x, entry w.


Entry w
First-principles (PBE-GGA) data for an optimized crystal structure of CsRhC2, as listed in Alexandria via LeMat-Bulk.

abc: 6.207 6.207 6.214
angles: 60.04 60.04 90.00
Fractional positions:
Cs1 0.000 0.000 0.000
Cs2 0.750 0.250 0.500
C1 0.375 0.125 0.250
C2 0.375 0.625 0.250
C3 0.375 0.625 0.750
C4 0.875 0.625 0.750
Rh1 0.500 0.500 0.000
Rh2 0.250 0.750 0.500

Results
Symmetry = No. 141
Density of states at the Fermi level = 3.74 states/eV per cell


Entry x
First-principles (PBE-GGA) data for an optimized crystal structure of CsRhC2, as listed in Alexandria via LeMat-Bulk.

abc: 4.431 4.431 4.431
angles: 60.00 60.00 60.00
Fractional positions:
Cs1 0.500 0.500 0.500
C1 0.250 0.250 0.250
C2 0.750 0.750 0.750
Rh1 0.000 0.000 0.000

Results
Symmetry = No. 225
Density of states at the Fermi level = 3.16 states/eV per cell


Going by the computed energies, the most stable comes first: entry w, entry x.